1.
Crystalline Rb3AuBr at its relaxed geometry. Source: Alexandria, functional PBE-GGA.

Summary:
E_form (uncorrected) = -0.606 eV/atom
magnetization = 0.0 μB per formula unit
energy above the most stable polymorph in this dataset = 145.5 meV per atom
space-group type = Pm-3m

a = 6.528 Å, b = 6.528 Å, c = 6.528 Å
α = 90.00°, β = 90.00°, γ = 90.00°
Atoms (fractional coordinates):
1 Rb 0.000 0.000 0.500
2 Rb 0.000 0.500 0.000
3 Rb 0.500 0.000 0.000
4 Au 0.500 0.500 0.500
5 Br 0.000 0.000 0.000

=====

2.
Crystalline Li3HgPt at its relaxed geometry. Source: Alexandria, functional PBE-GGA.

Summary:
formation energy from the elements = -0.9 eV per formula unit
magnetization = 0.0 μB per formula unit
energy above the most stable polymorph in this dataset = 260.2 meV per atom
space-group type = Pm-3m

a = 4.760 Å, b = 4.760 Å, c = 4.760 Å
α = 90.00°, β = 90.00°, γ = 90.00°
Atoms (fractional coordinates):
1 Li 0.000 0.000 0.500
2 Li 0.000 0.500 0.000
3 Li 0.500 0.000 0.000
4 Hg 0.500 0.500 0.500
5 Pt 0.000 0.000 0.000

=====

3.
Crystalline Mg5PdPt4 at its relaxed geometry. Source: Alexandria, functional PBE-GGA.

Summary:
formation energy from the elements = -8.4 eV per formula unit
magnetization = 0.0 μB per formula unit
space-group type = P4/mmm

a = 2.958 Å, b = 2.958 Å, c = 18.243 Å
α = 90.00°, β = 90.00°, γ = 90.00°
Atoms (fractional coordinates):
1 Mg 0.000 0.000 0.000
2 Mg 0.000 0.000 0.200
3 Mg 0.000 0.000 0.399
4 Mg 0.000 0.000 0.601
5 Mg 0.000 0.000 0.800
6 Pd 0.500 0.500 0.500
7 Pt 0.500 0.500 0.100
8 Pt 0.500 0.500 0.300
9 Pt 0.500 0.500 0.700
10 Pt 0.500 0.500 0.900

=====

4.
Crystalline LiBPdRh at its relaxed geometry. Source: Alexandria, functional PBE-GGA.

Summary:
formation energy from the elements = -0.9 eV per formula unit
magnetization = 0.0 μB per formula unit
space-group type = F-43m

a = 3.940 Å, b = 3.940 Å, c = 3.940 Å
α = 60.00°, β = 60.00°, γ = 60.00°
Atoms (fractional coordinates):
1 Li 0.000 0.000 0.000
2 B 0.500 0.500 0.500
3 Pd 0.250 0.250 0.250
4 Rh 0.750 0.750 0.750

=====

5.
Crystalline ThPb2Br8 at its relaxed geometry. Source: Alexandria, functional PBE-GGA.

Summary:
E_form (uncorrected) = -1.244 eV/atom
magnetization = 0.0 μB per formula unit
space-group type = C2/m

a = 8.005 Å, b = 8.005 Å, c = 7.147 Å
α = 104.69°, β = 104.69°, γ = 74.90°
Atoms (fractional coordinates):
1 Th 0.000 0.000 0.000
2 Pb 0.338 0.338 0.542
3 Pb 0.662 0.662 0.458
4 Br 0.050 0.651 0.752
5 Br 0.130 0.130 0.752
6 Br 0.349 0.950 0.248
7 Br 0.426 0.426 0.221
8 Br 0.574 0.574 0.779
9 Br 0.651 0.050 0.752
10 Br 0.870 0.870 0.248
11 Br 0.950 0.349 0.248

=====

6.
Crystalline UHg3Se2Br6 at its relaxed geometry. Source: Alexandria, functional PBE-GGA.

Summary:
E_form (uncorrected) = -0.709 eV/atom
magnetization = 1.7 μB per formula unit
space-group type = C2/m

a = 8.905 Å, b = 8.905 Å, c = 7.419 Å
α = 110.65°, β = 110.65°, γ = 52.66°
Atoms (fractional coordinates):
1 U 0.000 0.000 0.000
2 Hg 0.000 0.500 0.500
3 Hg 0.500 0.000 0.500
4 Hg 0.500 0.500 0.500
5 Se 0.322 0.322 0.384
6 Se 0.678 0.678 0.616
7 Br 0.085 0.085 0.409
8 Br 0.131 0.637 0.019
9 Br 0.363 0.869 0.981
10 Br 0.637 0.131 0.019
11 Br 0.869 0.363 0.981
12 Br 0.915 0.915 0.591